1.
# Tm3BiSb2 PBE optimized geometry
data_Tm3BiSb2
_chemical_formula_sum 'Tm6 Bi2 Sb4'
_symmetry_space_group_name_H-M 'I m m m'
_symmetry_Int_Tables_number 71
_symmetry_space_group_name_Hall '-I 2 2'
_cell_length_a 4.366
_cell_length_b 6.175
_cell_length_c 13.114
_cell_angle_alpha 90.00
_cell_angle_beta 90.00
_cell_angle_gamma 90.00
loop_
_atom_site_label
_atom_site_type_symbol
_atom_site_fract_x
_atom_site_fract_y
_atom_site_fract_z
Tm1 Tm 0.000 0.000 0.000
Tm2 Tm 0.000 0.000 0.329
Bi1 Bi 0.000 0.500 0.000
Sb1 Sb 0.000 0.500 0.335
# - mass density (kg/m³) = 9011
# - uncorrected formation energy (eV per atom) = -0.97

=====

2.
# ZnCoRu PBE optimized geometry
data_ZnCoRu
_chemical_formula_sum 'Zn1 Co1 Ru1'
_symmetry_space_group_name_H-M 'P 3 m 1'
_symmetry_Int_Tables_number 156
_cell_length_a 2.6629
_cell_length_b 2.6629
_cell_length_c 6.3317
_cell_angle_alpha 90.00
_cell_angle_beta 90.00
_cell_angle_gamma 120.00
loop_
_symmetry_equiv_pos_as_xyz
'x,y,z'
'-y,x-y,z'
'-x+y,-x,z'
'-y,-x,z'
'-x+y,y,z'
'x,x-y,z'
loop_
_atom_site_label
_atom_site_type_symbol
_atom_site_fract_x
_atom_site_fract_y
_atom_site_fract_z
Zn1 Zn 0.0000 0.0000 0.0000
Co1 Co 0.6667 0.3333 0.3289
Ru1 Ru 0.3333 0.6667 0.6412
# - energy (eV per atom) = -5.802
# - mass density (kg/m³) = 9627

=====

3.
# Sr2Ga9Ir3 PBE optimized geometry
data_Sr2Ga9Ir3
_chemical_formula_sum 'Sr8 Ga36 Ir12'
_symmetry_space_group_name_H-M 'C 1 2/c 1'
_symmetry_Int_Tables_number 15
_cell_length_a 13.320
_cell_length_b 7.629
_cell_length_c 10.889
_cell_angle_alpha 90.00
_cell_angle_beta 114.18
_cell_angle_gamma 90.00
loop_
_symmetry_equiv_pos_as_xyz
'x,y,z'
'-x,-y,-z'
'-x,y,-z+1/2'
'x,-y,z+1/2'
'x+1/2,y+1/2,z'
'-x+1/2,-y+1/2,-z'
'-x+1/2,y+1/2,-z+1/2'
'x+1/2,-y+1/2,z+1/2'
loop_
_atom_site_label
_atom_site_type_symbol
_atom_site_fract_x
_atom_site_fract_y
_atom_site_fract_z
Sr1 Sr 0.168 0.083 0.249
Ga1 Ga 0.000 0.376 0.250
Ga2 Ga 0.059 0.087 0.926
Ga3 Ga 0.100 0.417 0.057
Ga4 Ga 0.102 0.316 0.749
Ga5 Ga 0.224 0.418 0.431
Ir1 Ir 0.085 0.244 0.501
Ir2 Ir 0.250 0.250 0.000
# - energy (eV per atom) = -4.614
# - mass density (kg/m³) = 9076

=====

Among the records above, which one has the highest mass density?
ZnCoRu